A relaxed CaCd2Pb crystal. Source: the Alexandria database, functional PBE.

For the formation energy, the calculation gives -0.20 eV/atom. As for the total magnetization: 0.00 μB/atom. The value obtained for the density of states at the Fermi level is 2.20 states/eV/f.u. Its space group is Pmm2.

a = 3.708 Å, b = 3.949 Å, c = 7.450 Å
α = 90.00°, β = 90.00°, γ = 90.00°
Atoms (fractional coordinates):
Pb 0.000 0.000 0.478
Cd 0.000 0.000 0.028
Cd 0.500 0.500 0.232
Ca 0.500 0.500 0.762

A relaxed NbB2Pt2 crystal. Source: the Alexandria database, functional PBE.

For the formation energy, the calculation gives 0.03 eV/atom. As for the total magnetization: 0.00 μB/atom. The value obtained for the density of states at the Fermi level is 2.39 states/eV/f.u. Its space group is P4/mbm.

a = 6.660 Å, b = 6.660 Å, c = 2.778 Å
α = 90.00°, β = 90.00°, γ = 90.00°
Atoms (fractional coordinates):
B 0.662 0.162 0.000
Pt 0.649 0.851 0.500
B 0.338 0.838 0.000
Pt 0.351 0.149 0.500
Pt 0.851 0.351 0.500
B 0.838 0.662 0.000
B 0.162 0.338 0.000
Pt 0.149 0.649 0.500
Nb 0.500 0.500 0.000
Nb 0.000 0.000 0.000

A relaxed Hg3SbAs2Pb6 crystal. Source: the Alexandria database, functional PBE.

As for the total magnetization: 0.00 μB/atom. The value obtained for the density of states at the Fermi level is 4.97 states/eV/f.u. Its space group is C2/m. The calculation puts the total energy at -3.03 eV/atom.

a = 7.353 Å, b = 7.353 Å, c = 8.193 Å
α = 98.47°, β = 98.47°, γ = 119.85°
Atoms (fractional coordinates):
Sb 0.000 0.000 0.000
Pb 0.281 0.281 0.780
Pb 0.923 0.574 0.772
Pb 0.077 0.426 0.228
Pb 0.719 0.719 0.220
As 0.670 0.330 0.000
Hg 0.500 0.500 0.500
Pb 0.426 0.077 0.228
Hg 0.156 0.844 0.500
As 0.330 0.670 0.000
Pb 0.574 0.923 0.772
Hg 0.844 0.156 0.500

A relaxed SrHgIN2 crystal. Source: the Alexandria database, functional PBE.

Its relative energy among the computed polymorphs is 0.0 meV/atom. As for the total magnetization: 0.92 μB/atom. The value obtained for the density of states at the Fermi level is 5.30 states/eV/f.u. Its space group is P4/mmm.

a = 5.207 Å, b = 5.207 Å, c = 6.639 Å
α = 90.00°, β = 90.00°, γ = 90.00°
Atoms (fractional coordinates):
I 0.000 0.000 0.500
N 0.000 0.500 0.000
Sr 0.000 0.000 0.000
N 0.500 0.000 0.000
Hg 0.500 0.500 0.500

A relaxed Sr2Cu3As4Ir crystal. Source: the Alexandria database, functional PBE.

For the formation energy, the calculation gives -0.49 eV/atom. As for the total magnetization: 0.00 μB/atom. The value obtained for the density of states at the Fermi level is 4.58 states/eV/f.u. Its space group is P-4m2.

a = 4.405 Å, b = 4.405 Å, c = 9.924 Å
α = 90.00°, β = 90.00°, γ = 90.00°
Atoms (fractional coordinates):
Ir 0.500 0.500 0.500
Cu 0.000 0.500 0.123
As 0.500 0.500 0.000
Sr 0.000 0.500 0.752
As 0.000 0.000 0.000
Cu 0.500 0.000 0.877
Sr 0.500 0.000 0.248
As 0.500 0.000 0.626
As 0.000 0.500 0.374
Cu 0.000 0.000 0.500

A relaxed MgB2N2 crystal. Source: the Alexandria database, functional PBE.

Its relative energy among the computed polymorphs is 0.0 meV/atom. As for the total magnetization: 0.00 μB/atom. The value obtained for the density of states at the Fermi level is 1.54 states/eV/f.u. Its space group is P4/mbm.

a = 6.026 Å, b = 6.026 Å, c = 2.633 Å
α = 90.00°, β = 90.00°, γ = 90.00°
Atoms (fractional coordinates):
N 0.177 0.677 0.000
Mg 0.000 0.000 0.000
Mg 0.500 0.500 0.000
B 0.603 0.897 0.500
N 0.823 0.323 0.000
B 0.397 0.103 0.500
B 0.103 0.603 0.500
N 0.677 0.823 0.000
B 0.897 0.397 0.500
N 0.323 0.177 0.000

A relaxed ErScBePt crystal. Source: the Alexandria database, functional PBE.

For the formation energy, the calculation gives -0.59 eV/atom. As for the total magnetization: 0.00 μB/atom. The value obtained for the density of states at the Fermi level is 3.30 states/eV/f.u. Its space group is F-43m.

a = 4.738 Å, b = 4.738 Å, c = 4.738 Å
α = 60.00°, β = 60.00°, γ = 60.00°
Atoms (fractional coordinates):
Be 0.250 0.250 0.250
Er 0.000 0.000 0.000
Sc 0.500 0.500 0.500
Pt 0.750 0.750 0.750

A relaxed AgTe2Rh crystal. Source: the Alexandria database, functional PBE.

As for the total magnetization: 0.00 μB/atom. The value obtained for the density of states at the Fermi level is 1.88 states/eV/f.u. Its space group is Cmmm. The calculation puts the total energy at -3.95 eV/atom.

a = 4.882 Å, b = 4.882 Å, c = 3.577 Å
α = 90.00°, β = 90.00°, γ = 99.22°
Atoms (fractional coordinates):
Te 0.500 0.000 0.000
Te 0.000 0.500 0.000
Rh 0.000 0.000 0.500
Ag 0.500 0.500 0.500

A relaxed CsScBe3 crystal. Source: the Alexandria database, functional PBE.

Its relative energy among the computed polymorphs is 0.0 meV/atom. For the formation energy, the calculation gives 1.44 eV/atom. As for the total magnetization: 0.00 μB/atom. The value obtained for the density of states at the Fermi level is 11.13 states/eV/f.u. Its space group is Pm-3m.

a = 5.353 Å, b = 5.353 Å, c = 5.353 Å
α = 90.00°, β = 90.00°, γ = 90.00°
Atoms (fractional coordinates):
Be 0.000 0.500 0.000
Be 0.000 0.000 0.500
Be 0.500 0.000 0.000
Cs 0.500 0.500 0.500
Sc 0.000 0.000 0.000

A relaxed Li4Ag2Pd3 crystal. Source: the Alexandria database, functional PBE.

Its relative energy among the computed polymorphs is 16.4 meV/atom. For the formation energy, the calculation gives -0.30 eV/atom. As for the total magnetization: 0.00 μB/atom. The value obtained for the density of states at the Fermi level is 2.31 states/eV/f.u. Its space group is C2/m.

a = 4.045 Å, b = 5.829 Å, c = 6.424 Å
α = 108.03°, β = 108.35°, γ = 90.00°
Atoms (fractional coordinates):
Pd 0.000 0.000 0.000
Pd 0.888 0.356 0.777
Li 0.774 0.675 0.549
Ag 0.334 0.995 0.669
Li 0.545 0.325 0.090
Ag 0.666 0.005 0.331
Pd 0.112 0.644 0.223
Li 0.455 0.675 0.910
Li 0.226 0.325 0.451

A relaxed LiI3Cl9 crystal. Source: the Alexandria database, functional PBE.

As for the total magnetization: 0.00 μB/atom. Its space group is Cc. The calculation puts the total energy at -2.16 eV/atom.

a = 9.799 Å, b = 11.521 Å, c = 12.487 Å
α = 55.13°, β = 66.90°, γ = 64.83°
Atoms (fractional coordinates):
Li 0.482 0.037 0.492
Cl 0.817 0.040 0.770
Cl 0.981 0.521 0.413
I 0.696 0.603 0.839
Cl 0.373 0.540 0.270
Cl 0.925 0.397 0.929
Cl 0.749 0.897 0.429
Cl 0.471 0.824 0.749
I 0.545 0.698 0.230
Cl 0.197 0.120 0.560
Cl 0.444 0.208 0.931
Cl 0.082 0.011 0.209
Cl 0.088 0.719 0.746
Cl 0.447 0.219 0.246
Cl 0.124 0.620 0.060
Cl 0.085 0.021 0.913
Cl 0.597 0.195 0.492
I 0.862 0.103 0.339
Li 0.989 0.537 0.992
I 0.092 0.886 0.817
Cl 0.698 0.511 0.709
Cl 0.956 0.324 0.249
I 0.205 0.386 0.317
Cl 0.417 0.708 0.431
I 0.527 0.198 0.730
Cl 0.716 0.695 0.992

A relaxed Ca2CdTc crystal. Source: the Alexandria database, functional PBE.

For the formation energy, the calculation gives 0.40 eV/atom. As for the total magnetization: 0.39 μB/atom. The value obtained for the density of states at the Fermi level is 4.70 states/eV/f.u. Its space group is P4/mmm.

a = 4.740 Å, b = 4.743 Å, c = 4.307 Å
α = 90.00°, β = 90.00°, γ = 90.00°
Atoms (fractional coordinates):
Ca 0.000 0.000 0.000
Cd 0.500 0.000 0.500
Ca 0.500 0.500 0.000
Tc 0.000 0.500 0.500

Number 1: mass density 7.2 g/cm3. Number 2: mass density 13.6 g/cm3. Number 3: mass density 9.6 g/cm3. Number 4: mass density 4.1 g/cm3. Number 5: mass density 7.4 g/cm3. Number 6: mass density 2.6 g/cm3. Number 7: mass density 9.2 g/cm3. Number 8: mass density 9.2 g/cm3. Number 9: mass density 2.2 g/cm3. Number 10: mass density 6.9 g/cm3. Number 11: mass density 2.3 g/cm3. Number 12: mass density 5.0 g/cm3.